i.
Compound: Li2BiPb2
Source: Alexandria via LeMat-Bulk
Functional: PBEsol
Structure: relaxed

```
Li2BiPb2
1.0
-1.018 3.340 -2.737
2.573 -1.789 -3.140
-5.792 -4.113 0.731
Pb Bi Li
2 1 2
Direct
0.388 0.388 0.776
0.612 0.612 0.224
0.000 0.000 0.000
0.250 0.750 0.500
0.750 0.250 0.500
```

* volume: 25.25 Å³/atom

=====

ii.
Compound: Li2BiPb2
Source: Alexandria via LeMat-Bulk
Functional: PBEsol
Structure: relaxed

```
Li2BiPb2
1.0
4.368 0.000 0.000
0.000 7.386 0.000
0.000 0.000 7.386
Pb Bi Li
4 2 4
Direct
0.500 0.166 0.666
0.500 0.666 0.834
0.500 0.834 0.334
0.500 0.334 0.166
0.000 0.000 0.000
0.000 0.500 0.500
0.000 0.362 0.862
0.000 0.862 0.638
0.000 0.638 0.138
0.000 0.138 0.362
```

* volume: 23.83 Å³/atom

=====

Which is most stable, and by how much? ii, by 167 meV/atom.

=====

i.
Compound: Li5BiS4
Source: Alexandria via LeMat-Bulk
Functional: PBEsol
Structure: relaxed

```
Li5BiS4
1.0
-2.400 -5.505 4.293
-2.384 0.577 -6.962
5.854 -4.400 -2.369
Li Bi S
10 2 8
Direct
0.235 0.138 0.702
0.138 0.235 0.202
0.402 0.135 0.014
0.135 0.402 0.514
0.163 0.837 0.364
0.837 0.163 0.864
0.598 0.865 0.514
0.865 0.598 0.014
0.765 0.862 0.202
0.862 0.765 0.702
0.331 0.669 0.890
0.669 0.331 0.390
0.504 0.970 0.240
0.970 0.504 0.740
0.015 0.985 0.965
0.985 0.015 0.465
0.524 0.476 0.154
0.476 0.524 0.654
0.496 0.030 0.740
0.030 0.496 0.240
```

* volume: 18.14 Å³/atom

=====

ii.
Compound: Li5BiS4
Source: Alexandria via LeMat-Bulk
Functional: PBEsol
Structure: relaxed

```
Li5BiS4
1.0
3.908 0.000 0.000
0.000 7.152 0.000
-1.954 -3.576 6.662
S Bi Li
4 1 5
Direct
0.000 0.276 0.000
0.714 0.214 0.428
0.286 0.786 0.572
0.000 0.724 0.000
0.500 0.000 0.000
0.179 0.969 0.357
0.179 0.388 0.357
0.821 0.612 0.643
0.821 0.031 0.643
0.500 0.500 0.000
```

* volume: 18.62 Å³/atom

=====

iii.
Compound: Li5BiS4
Source: Alexandria via LeMat-Bulk
Functional: PBEsol
Structure: relaxed

```
Li5BiS4
1.0
5.883 0.000 0.000
0.000 16.373 0.000
0.000 0.000 16.373
Li Bi S
40 8 32
Direct
0.000 0.763 0.237
0.500 0.737 0.263
0.000 0.237 0.237
0.500 0.263 0.263
0.571 0.113 0.362
0.571 0.887 0.362
0.000 0.372 0.372
0.000 0.628 0.372
0.071 0.862 0.387
0.071 0.138 0.387
0.097 0.000 0.500
0.500 0.500 0.500
0.000 0.500 0.500
0.597 0.000 0.500
0.071 0.862 0.613
0.071 0.138 0.613
0.000 0.372 0.628
0.000 0.628 0.628
0.571 0.887 0.638
0.571 0.113 0.638
0.000 0.237 0.763
0.500 0.263 0.737
0.000 0.763 0.763
0.500 0.737 0.737
0.929 0.387 0.862
0.929 0.613 0.862
0.500 0.872 0.872
0.500 0.128 0.872
0.429 0.362 0.887
0.429 0.638 0.887
0.500 0.000 0.000
0.000 0.000 0.000
0.903 0.500 0.000
0.403 0.500 0.000
0.429 0.362 0.113
0.429 0.638 0.113
0.500 0.872 0.128
0.500 0.128 0.128
0.929 0.387 0.138
0.929 0.613 0.138
0.456 0.500 0.269
0.544 0.269 0.500
0.544 0.731 0.500
0.456 0.500 0.731
0.044 0.000 0.769
0.956 0.769 0.000
0.956 0.231 0.000
0.044 0.000 0.231
0.286 0.864 0.259
0.286 0.136 0.259
0.786 0.759 0.364
0.786 0.241 0.364
0.848 0.000 0.382
0.775 0.500 0.382
0.348 0.882 0.500
0.225 0.382 0.500
0.348 0.118 0.500
0.225 0.618 0.500
0.775 0.500 0.618
0.848 0.000 0.618
0.786 0.241 0.636
0.786 0.759 0.636
0.286 0.864 0.741
0.286 0.136 0.741
0.214 0.364 0.759
0.214 0.636 0.759
0.714 0.259 0.864
0.714 0.741 0.864
0.652 0.500 0.882
0.725 0.000 0.882
0.275 0.882 0.000
0.275 0.118 0.000
0.152 0.382 0.000
0.152 0.618 0.000
0.725 0.000 0.118
0.652 0.500 0.118
0.714 0.259 0.136
0.714 0.741 0.136
0.214 0.364 0.241
0.214 0.636 0.241
```

* volume: 19.71 Å³/atom

=====

iv.
Compound: Li5BiS4
Source: Alexandria via LeMat-Bulk
Functional: PBEsol
Structure: relaxed

```
Li5BiS4
1.0
-1.673 -0.685 5.341
7.322 0.443 2.350
-0.834 9.021 0.896
Li Bi S
10 2 8
Direct
0.247 0.769 0.791
0.247 0.231 0.791
0.771 0.500 0.000
0.247 0.769 0.209
0.247 0.231 0.209
0.753 0.731 0.291
0.753 0.269 0.291
0.229 0.000 0.500
0.753 0.731 0.709
0.753 0.269 0.709
0.827 0.000 0.000
0.173 0.500 0.500
0.980 0.000 0.712
0.520 0.752 0.000
0.520 0.248 0.000
0.980 0.000 0.288
0.020 0.500 0.212
0.480 0.748 0.500
0.480 0.252 0.500
0.020 0.500 0.788
```

* volume: 19.77 Å³/atom

=====

Which is most stable, and by how much? ii, by 19 meV/atom.

=====

i.
Compound: Li3BiS3
Source: Alexandria via LeMat-Bulk
Functional: PBEsol
Structure: relaxed

```
Li3BiS3
1.0
-3.706 5.647 -0.153
-1.554 -3.339 -5.664
-2.551 -3.703 5.042
S Bi Li
6 2 6
Direct
0.297 0.928 0.276
0.797 0.776 0.428
0.428 0.797 0.776
0.928 0.276 0.297
0.776 0.428 0.797
0.276 0.297 0.928
0.501 0.501 0.501
0.001 0.001 0.001
0.481 0.703 0.098
0.981 0.598 0.203
0.598 0.203 0.981
0.098 0.481 0.703
0.703 0.098 0.481
0.203 0.981 0.598
```

* volume: 19.03 Å³/atom

=====

ii.
Compound: Li3BiS3
Source: Alexandria via LeMat-Bulk
Functional: PBEsol
Structure: relaxed

```
Li3BiS3
1.0
6.815 0.000 0.000
0.000 7.440 0.000
0.000 0.000 10.180
Li Bi S
12 4 12
Direct
0.972 0.956 0.765
0.668 0.885 0.327
0.644 0.767 0.620
0.144 0.733 0.120
0.168 0.615 0.827
0.472 0.544 0.265
0.528 0.456 0.765
0.832 0.385 0.327
0.856 0.267 0.620
0.356 0.233 0.120
0.332 0.115 0.827
0.028 0.044 0.265
0.121 0.701 0.500
0.621 0.799 0.000
0.379 0.201 0.500
0.879 0.299 0.000
0.871 0.969 0.505
0.321 0.846 0.313
0.319 0.839 0.692
0.819 0.661 0.192
0.821 0.654 0.813
0.371 0.531 0.005
0.629 0.469 0.505
0.179 0.346 0.313
0.181 0.339 0.692
0.681 0.161 0.192
0.679 0.154 0.813
0.129 0.031 0.005
```

* volume: 18.44 Å³/atom

=====

iii.
Compound: Li3BiS3
Source: Alexandria via LeMat-Bulk
Functional: PBEsol
Structure: relaxed

```
Li3BiS3
1.0
-3.741 0.094 5.965
-6.775 -1.916 -0.063
-1.776 -6.763 3.149
S Bi Li
6 2 6
Direct
0.421 0.045 0.761
0.955 0.227 0.239
0.773 0.421 0.761
0.227 0.579 0.239
0.045 0.773 0.761
0.579 0.955 0.239
0.168 0.168 0.495
0.832 0.832 0.505
0.685 0.087 0.860
0.631 0.315 0.140
0.087 0.369 0.860
0.913 0.631 0.140
0.369 0.685 0.860
0.315 0.913 0.140
```

* volume: 19.94 Å³/atom

=====

Which is most stable, and by how much? iii, by 9 meV/atom.

=====

i.
Compound: MgBi2MoP
Source: Alexandria via LeMat-Bulk
Functional: PBEsol
Structure: relaxed

```
MgBi2MoP
1.0
-0.212 -0.502 5.111
-1.444 -4.983 -0.549
5.008 -1.458 0.065
Mg P Mo Bi
1 1 1 2
Direct
0.500 0.000 0.000
0.500 0.500 0.500
0.000 0.000 0.000
0.000 0.000 0.500
0.000 0.500 0.000
```

* volume: 27.98 Å³/atom

=====

ii.
Compound: MgBi2MoP
Source: Alexandria via LeMat-Bulk
Functional: PBEsol
Structure: relaxed

```
MgBi2MoP
1.0
-0.011 4.919 -0.338
-0.440 0.355 5.191
5.203 0.041 0.438
Mg P Mo Bi
1 1 1 2
Direct
0.000 0.000 0.000
0.500 0.500 0.500
0.500 0.000 0.000
0.000 0.000 0.500
0.000 0.500 0.000
```

* volume: 26.88 Å³/atom

=====

Which is most stable, and by how much? i, by 653 meV/atom.

=====

i.
Compound: MgTaBiO5
Source: Alexandria via LeMat-Bulk
Functional: PBEsol
Structure: relaxed

```
MgTaBiO5
1.0
-1.910 -0.583 4.889
8.914 -2.918 3.135
3.712 14.794 3.216
Mg Ta Bi O
8 8 8 40
Direct
0.510 0.652 0.582
0.010 0.848 0.582
0.010 0.348 0.918
0.990 0.652 0.082
0.490 0.848 0.082
0.990 0.152 0.418
0.490 0.348 0.418
0.510 0.152 0.918
0.934 0.617 0.435
0.566 0.117 0.565
0.066 0.383 0.565
0.434 0.883 0.435
0.066 0.883 0.935
0.934 0.117 0.065
0.566 0.617 0.935
0.434 0.383 0.065
0.078 0.133 0.753
0.922 0.867 0.247
0.422 0.633 0.247
0.922 0.367 0.253
0.578 0.867 0.747
0.578 0.367 0.753
0.422 0.133 0.253
0.078 0.633 0.747
0.052 0.690 0.326
0.812 0.021 0.952
0.688 0.521 0.048
0.778 0.224 0.833
0.722 0.724 0.167
0.052 0.190 0.174
0.722 0.224 0.333
0.448 0.190 0.674
0.812 0.521 0.548
0.948 0.310 0.674
0.448 0.690 0.826
0.226 0.741 0.490
0.312 0.979 0.548
0.222 0.276 0.333
0.699 0.006 0.127
0.312 0.479 0.952
0.948 0.810 0.826
0.278 0.776 0.667
0.726 0.259 0.010
0.688 0.021 0.452
0.774 0.259 0.510
0.301 0.994 0.873
0.222 0.776 0.167
0.199 0.994 0.373
0.774 0.759 0.990
0.726 0.759 0.490
0.188 0.479 0.452
0.188 0.979 0.048
0.199 0.494 0.127
0.274 0.241 0.510
0.274 0.741 0.990
0.226 0.241 0.010
0.301 0.494 0.627
0.278 0.276 0.833
0.778 0.724 0.667
0.699 0.506 0.373
0.801 0.506 0.873
0.552 0.810 0.326
0.801 0.006 0.627
0.552 0.310 0.174
```

* volume: 12.72 Å³/atom

=====

ii.
Compound: MgTaBiO5
Source: Alexandria via LeMat-Bulk
Functional: PBEsol
Structure: relaxed

```
MgTaBiO5
1.0
-3.912 -2.554 -2.569
3.942 -5.752 4.520
-7.047 2.023 8.720
Mg Ta Bi O
4 4 4 20
Direct
0.623 0.152 0.909
0.377 0.848 0.091
0.877 0.348 0.409
0.123 0.652 0.591
0.809 0.947 0.621
0.191 0.053 0.379
0.691 0.553 0.121
0.309 0.447 0.879
0.097 0.158 0.101
0.903 0.842 0.899
0.597 0.658 0.399
0.403 0.342 0.601
0.491 0.353 0.044
0.995 0.314 0.946
0.500 0.685 0.187
0.764 0.514 0.524
0.781 0.481 0.267
0.281 0.981 0.233
0.495 0.814 0.554
0.505 0.186 0.446
0.236 0.486 0.476
0.009 0.147 0.544
0.219 0.519 0.733
0.509 0.647 0.956
0.991 0.853 0.456
0.719 0.019 0.767
0.736 0.986 0.024
0.264 0.014 0.976
0.500 0.315 0.813
0.005 0.686 0.054
0.000 0.815 0.687
0.000 0.185 0.313
```

* volume: 15.15 Å³/atom

=====

Which is most stable, and by how much? i, by 47 meV/atom.

=====

i.
Compound: TaBiSe2N
Source: Alexandria via LeMat-Bulk
Functional: PBEsol
Structure: relaxed

```
TaBiSe2N
1.0
-2.294 -1.974 -2.677
4.175 -0.335 -3.331
1.405 -4.657 2.230
N Bi Se Ta
1 1 2 1
Direct
0.500 0.000 0.000
0.000 0.000 0.000
0.000 0.000 0.500
0.000 0.500 0.000
0.500 0.500 0.500
```

* volume: 23.14 Å³/atom

=====

ii.
Compound: TaBiSe2N
Source: Alexandria via LeMat-Bulk
Functional: PBEsol
Structure: relaxed

```
TaBiSe2N
1.0
3.888 0.000 0.000
0.000 5.162 0.000
0.000 0.000 5.162
N Bi Se Ta
1 1 2 1
Direct
0.500 0.000 0.000
0.500 0.500 0.500
0.000 0.000 0.500
0.000 0.500 0.000
0.000 0.000 0.000
```

* volume: 20.72 Å³/atom

=====

Which is most stable, and by how much? ii, by 1734 meV/atom.